Compound: K3NaCe3O8
Source: Alexandria via LeMat-Bulk
Functional: PBE
Structure: optimized geometry

Structure (CIF):
```
data_K3NaCe3O8
_chemical_formula_sum 'K3 Na1 Ce3 O8'
_symmetry_space_group_name_H-M 'P 1'
_symmetry_Int_Tables_number 1
_cell_length_a 7.114
_cell_length_b 7.115
_cell_length_c 7.435
_cell_angle_alpha 118.59
_cell_angle_beta 90.00
_cell_angle_gamma 120.00
loop_
_symmetry_equiv_pos_as_xyz
'x,y,z'
loop_
_atom_site_label
_atom_site_type_symbol
_atom_site_fract_x
_atom_site_fract_y
_atom_site_fract_z
_atom_site_occupancy
O1 O 0.302 0.065 0.328 1
O2 O 0.237 0.474 0.672 1
K1 K 0.000 0.500 0.000 1
Ce1 Ce 0.500 0.500 0.500 1
O3 O 0.732 0.463 0.695 1
Ce2 Ce 0.000 0.500 0.500 1
K2 K 0.500 0.500 0.000 1
O4 O 0.237 0.935 0.672 1
O5 O 0.268 0.537 0.305 1
K3 K 0.000 0.000 0.000 1
O6 O 0.763 0.065 0.328 1
O7 O 0.763 0.526 0.328 1
Ce3 Ce 0.500 0.000 0.500 1
Na1 Na 0.000 0.000 0.500 1
O8 O 0.698 0.935 0.672 1
```

Computed properties:
**ρ**: 4.21 g/cm³
**Energy**: -6.732 eV/atom
**E_form (uncorrected)**: -2.593 eV per atom
**Space-group type**: R-3m (166)
**Volume**: 18.1 Å³/atom